VASP calculation (GGA-PBE) on BaAgBi after structural relaxation.

Lattice parameters (Å, degrees): 5.731 5.731 6.988 90.00 90.00 120.00
Sites, in units of the cell vectors:
1 Ba 0.667 0.333 0.250
2 Ba 0.333 0.667 0.750
3 Bi 0.667 0.333 0.750
4 Bi 0.333 0.667 0.250
5 Ag 0.000 0.000 0.000
6 Ag 0.000 0.000 0.500

**Final energy**: -3.226 eV/atom
**Space group**: P6_3/mmc, No. 194

=====

VASP calculation (GGA-PBE) on BaAgBi after structural relaxation.

Lattice parameters (Å, degrees): 5.009 5.009 9.376 90.00 90.00 120.00
Sites, in units of the cell vectors:
1 Bi 0.667 0.333 0.750
2 Bi 0.333 0.667 0.250
3 Ag 0.667 0.333 0.250
4 Ag 0.333 0.667 0.750
5 Ba 0.000 0.000 0.000
6 Ba 0.000 0.000 0.500

**Final energy**: -3.603 eV/atom
**Space group**: P6_3/mmc, No. 194

=====

VASP calculation (GGA-PBE) on BaAg2BiP after structural relaxation.

Lattice parameters (Å, degrees): 4.708 4.708 11.667 90.00 90.00 90.00
Sites, in units of the cell vectors:
1 Bi 0.000 0.000 0.500
2 Bi 0.500 0.500 0.500
3 Ag 0.000 0.500 0.667
4 Ag 0.000 0.000 0.000
5 Ag 0.500 0.000 0.333
6 Ag 0.500 0.500 0.000
7 P 0.500 0.000 0.120
8 P 0.000 0.500 0.880
9 Ba 0.500 0.000 0.784
10 Ba 0.000 0.500 0.216

**Final energy**: -3.839 eV/atom
**Space group**: P4/nmm, No. 129

=====

VASP calculation (GGA-PBE) on Ba2CdAg after structural relaxation.

Lattice parameters (Å, degrees): 5.628 5.628 5.628 60.00 60.00 60.00
Sites, in units of the cell vectors:
1 Ba 0.750 0.750 0.750
2 Ba 0.500 0.500 0.500
3 Cd 0.000 0.000 0.000
4 Ag 0.250 0.250 0.250

**Final energy**: -2.004 eV/atom
**Space group**: F-43m, No. 216

=====

VASP calculation (GGA-PBE) on BaCd2Ag after structural relaxation.

Lattice parameters (Å, degrees): 5.395 5.395 5.395 60.00 60.00 60.00
Sites, in units of the cell vectors:
1 Cd 0.000 0.000 0.000
2 Cd 0.250 0.250 0.250
3 Ag 0.500 0.500 0.500
4 Ba 0.750 0.750 0.750

**Final energy**: -1.798 eV/atom
**Space group**: F-43m, No. 216

=====

VASP calculation (GGA-PBE) on BaCdAg2 after structural relaxation.

Lattice parameters (Å, degrees): 5.392 5.392 5.392 60.00 60.00 60.00
Sites, in units of the cell vectors:
1 Ag 0.250 0.250 0.250
2 Ag 0.000 0.000 0.000
3 Ba 0.750 0.750 0.750
4 Cd 0.500 0.500 0.500

**Final energy**: -2.215 eV/atom
**Space group**: F-43m, No. 216

=====

Among the records above, which one has the lowest final energy?
BaAg2BiP